{"formula": "Ac2LaPr4Tm", "functional": "PBE", "state": "relaxed", "e_tot_ev_per_atom": -4.554, "space_group": "P2/m", "e_form_kj_per_mol_fu": 29, "vol_a3_per_atom": 37.72, "lattice": [[-0.183, -2.486, 2.849], [12.082, 1.810, 2.356], [-0.354, 4.913, 4.264]], "species": ["Ac", "Ac", "La", "Pr", "Pr", "Pr", "Pr", "Tm"], "frac_coords": [[0.000, 0.000, 0.000], [0.500, 0.000, 0.500], [0.500, 0.500, 0.000], [0.000, 0.744, 0.752], [0.000, 0.256, 0.248], [0.500, 0.741, 0.255], [0.500, 0.259, 0.745], [0.000, 0.500, 0.500]]}